## one
This record from the Alexandria database describes a relaxed LiCu2Ag2 crystal. The functional is PBE.

abc: 7.569 7.569 2.831
angles: 90.00 90.00 90.00
Atoms (fractional coordinates):
Li 0.000 0.000 0.000
Li 0.500 0.500 0.000
Cu 0.117 0.383 0.000
Cu 0.383 0.883 0.000
Cu 0.617 0.117 0.000
Cu 0.883 0.617 0.000
Ag 0.179 0.679 0.500
Ag 0.321 0.179 0.500
Ag 0.679 0.821 0.500
Ag 0.821 0.321 0.500

Magnetization, μB per atom: 0.000

## two
This record from the Alexandria database describes a relaxed LiCu2Ag2 crystal. The functional is PBE.

abc: 7.383 7.383 7.383
angles: 153.15 153.15 38.33
Atoms (fractional coordinates):
Li 0.000 0.000 0.000
Cu 0.250 0.750 0.500
Cu 0.750 0.250 0.500
Ag 0.400 0.400 0.000
Ag 0.600 0.600 0.000

Magnetization, μB per atom: 0.000

Relative energies, unit eV/atom: one 0.000; two 0.044

## one
This record from the Alexandria database describes a relaxed LiCu2Ag2 crystal. The functional is PBE.

abc: 7.642 7.642 2.812
angles: 90.00 90.00 90.00
Atoms (fractional coordinates):
Li 0.000 0.000 0.000
Li 0.500 0.500 0.000
Cu 0.158 0.342 0.500
Cu 0.342 0.842 0.500
Cu 0.658 0.158 0.500
Cu 0.842 0.658 0.500
Ag 0.140 0.640 0.000
Ag 0.360 0.140 0.000
Ag 0.640 0.860 0.000
Ag 0.860 0.360 0.000

Magnetization, μB per atom: 0.000

## two
This record from the Alexandria database describes a relaxed LiCu2Ag2 crystal. The functional is PBE.

abc: 6.419 6.419 6.419
angles: 144.19 144.19 51.54
Atoms (fractional coordinates):
Li 0.000 0.000 0.000
Cu 0.400 0.400 0.000
Cu 0.600 0.600 0.000
Ag 0.250 0.750 0.500
Ag 0.750 0.250 0.500

Magnetization, μB per atom: 0.000

Relative energies, unit eV/atom: one 0.000; two 0.116

## one
This record from the Alexandria database describes a relaxed Li4CuAg5 crystal. The functional is PBE.

abc: 6.324 6.324 6.324
angles: 99.01 99.01 133.39
Atoms (fractional coordinates):
Li 0.149 0.219 0.368
Li 0.219 0.851 0.070
Li 0.781 0.149 0.930
Li 0.851 0.781 0.632
Cu 0.752 0.752 0.000
Ag 0.188 0.544 0.701
Ag 0.271 0.271 0.000
Ag 0.487 0.188 0.644
Ag 0.544 0.843 0.356
Ag 0.843 0.487 0.299

Magnetization, μB per atom: 0.000

## two
This record from the Alexandria database describes a relaxed Li4CuAg5 crystal. The functional is PBE.

abc: 3.178 3.178 15.655
angles: 90.00 90.00 90.00
Atoms (fractional coordinates):
Li 0.000 0.000 0.101
Li 0.000 0.000 0.304
Li 0.000 0.000 0.696
Li 0.000 0.000 0.899
Cu 0.000 0.000 0.500
Ag 0.500 0.500 0.000
Ag 0.500 0.500 0.202
Ag 0.500 0.500 0.403
Ag 0.500 0.500 0.597
Ag 0.500 0.500 0.798

Magnetization, μB per atom: 0.000

Relative energies, unit eV/atom: one 0.116; two 0.000